Below is a relaxed structure of TbSmTh2, with properties calculated at the PBE level.

Lattice parameters (Å, degrees): 5.0618 5.0815 11.3378 90.00 116.39 90.00
Fractional coordinates of all 8 atoms:
1 Tb 0.8678 0.7500 0.3682
2 Tb 0.1322 0.2500 0.6318
3 Sm 0.3678 0.2500 0.3684
4 Sm 0.6322 0.7500 0.6316
5 Th 0.6207 0.2500 0.1205
6 Th 0.3793 0.7500 0.8795
7 Th 0.1214 0.7500 0.1215
8 Th 0.8786 0.2500 0.8785

M_tot, μB per atom: 0.00
E above lowest polymorph, eV/f.u.: 0.00
Energy relative to the elements, meV/atom: 30
Density of states at the Fermi level, states/eV/atom: 1.715
Total energy, eV per cell: -48.14

---

Below is a relaxed structure of LaCuBr2, with properties calculated at the PBE level.

Lattice parameters (Å, degrees): 7.6340 7.6340 4.3593 74.08 74.08 31.66
Fractional coordinates of all 4 atoms:
1 Br 0.0173 0.0173 0.9507
2 Br 0.7616 0.7616 0.7091
3 Cu 0.5483 0.5483 0.5508
4 La 0.1728 0.1728 0.2893

M_tot, μB per atom: 0.00
Energy relative to the elements, uncorrected, meV/atom: -917
E above lowest polymorph, eV/f.u.: 0.24
Density of states at the Fermi level, states/eV/atom: 0.064
Total energy, eV per cell: -16.04

---

Below is a relaxed structure of Sc3Pb2S6, with properties calculated at the PBE level.

Lattice parameters (Å, degrees): 6.5333 6.5230 7.3127 81.76 73.38 59.95
Fractional coordinates of all 11 atoms:
1 Sc 0.0000 0.0000 0.0000
2 Sc 0.3332 0.3337 0.0000
3 Sc 0.6668 0.6663 0.0000
4 Pb 0.1632 0.6737 0.5000
5 Pb 0.8368 0.3263 0.5000
6 S 0.4010 0.6638 0.7920
7 S 0.7348 0.0000 0.7937
8 S 0.0648 0.3362 0.7920
9 S 0.2652 0.0000 0.2063
10 S 0.5990 0.3362 0.2080
11 S 0.9352 0.6638 0.2080

M_tot, μB per atom: 0.00
Energy relative to the elements, uncorrected, meV/atom: -1374
Density of states at the Fermi level, states/eV/atom: 0.531
Total energy, eV per cell: -66.29

---

Below is a relaxed structure of NiGeRu, with properties calculated at the PBE level.

Lattice parameters (Å, degrees): 4.2405 2.9721 12.7098 90.00 96.13 90.00
Fractional coordinates of all 12 atoms:
1 Ni 0.2397 0.0000 0.5819
2 Ni 0.2397 0.5000 0.0819
3 Ni 0.3608 0.0000 0.2422
4 Ni 0.3608 0.5000 0.7422
5 Ge 0.6613 0.0000 0.4154
6 Ge 0.6613 0.5000 0.9154
7 Ge 0.8687 0.0000 0.7325
8 Ge 0.8687 0.5000 0.2325
9 Ru 0.7311 0.0000 0.0778
10 Ru 0.7311 0.5000 0.5778
11 Ru 0.1585 0.0000 0.9132
12 Ru 0.1585 0.5000 0.4132

M_tot, μB per atom: 0.00
Energy relative to the elements, meV/atom: -158
Density of states at the Fermi level, states/eV/atom: 0.639
Total energy, eV per cell: -80.60